1.
VASP calculation (PBEsol) on an optimized crystal structure of NaSr2Bi2.

Output
As for the theoretical density: 5.0 g/cm3. As for the energy relative to the elements: -43 kJ/mol of atoms. The crystal system is tetragonal. As for the total moment: 0.000 μB per atom. For the calculated volume, the calculation gives 41.21 Å³/atom. Its density of states at the Fermi level is 2.82 states/eV/f.u.

Unit cell a=6.4778 b=6.4778 c=9.8215 alpha=90.00 beta=90.00 gamma=90.00
Space group I4/mmm (No. 139)
Inequivalent atoms, fractional coordinates:
Na 0.0000 0.0000 0.0000 (multiplicity 2)
Sr 0.0000 0.5000 0.2500 (multiplicity 4)
Bi 0.0000 0.0000 0.3369 (multiplicity 4)



2.
VASP calculation (PBEsol) on an optimized crystal structure of NaYTcBi2.

Output
As for the theoretical density: 6.2 g/cm3. As for the energy relative to the elements: 84 kJ/mol of atoms. The crystal system is tetragonal. As for the total moment: 0.429 μB per atom. For the calculated volume, the calculation gives 33.79 Å³/atom. Its density of states at the Fermi level is 3.55 states/eV/f.u.

Unit cell a=5.8568 b=5.8568 c=4.9259 alpha=90.00 beta=90.00 gamma=90.00
Space group P4/mmm (No. 123)
Inequivalent atoms, fractional coordinates:
Na 0.0000 0.0000 0.0000 (multiplicity 1)
Y 0.5000 0.5000 0.5000 (multiplicity 1)
Tc 0.5000 0.5000 0.0000 (multiplicity 1)
Bi 0.0000 0.5000 0.5000 (multiplicity 2)



3.
VASP calculation (PBEsol) on an optimized crystal structure of Na2BiTe2.

Output
As for the theoretical density: 5.9 g/cm3. As for the energy relative to the elements, uncorrected: -1.0 eV per formula unit. The crystal system is tetragonal. As for the total moment: 0.000 μB per atom. For the calculated volume, the calculation gives 28.88 Å³/atom. Its density of states at the Fermi level is 3.34 states/eV/f.u.

Unit cell a=4.2823 b=4.2823 c=15.7482 alpha=90.00 beta=90.00 gamma=90.00
Space group I4/mmm (No. 139)
Inequivalent atoms, fractional coordinates:
Na 0.0000 0.5000 0.2500 (multiplicity 4)
Bi 0.0000 0.0000 0.0000 (multiplicity 2)
Te 0.0000 0.0000 0.3904 (multiplicity 4)



4.
VASP calculation (PBEsol) on an optimized crystal structure of NaBiTe3.

Output
As for the theoretical density: 6.6 g/cm3. As for the energy relative to the elements, uncorrected: 2.6 eV per formula unit. The crystal system is cubic. As for the total moment: 0.000 μB per atom. For the calculated volume, the calculation gives 31.08 Å³/atom. Its density of states at the Fermi level is 5.76 states/eV/f.u.

Unit cell a=5.3764 b=5.3764 c=5.3764 alpha=90.00 beta=90.00 gamma=90.00
Space group Pm-3m (No. 221)
Inequivalent atoms, fractional coordinates:
Na 0.0000 0.0000 0.0000 (multiplicity 1)
Bi 0.5000 0.5000 0.5000 (multiplicity 1)
Te 0.0000 0.0000 0.5000 (multiplicity 3)



5.
VASP calculation (PBEsol) on an optimized crystal structure of NaTiBi2Te.

Output
As for the theoretical density: 7.0 g/cm3. As for the energy relative to the elements, uncorrected: 4.6 eV per formula unit. The crystal system is tetragonal. As for the total moment: 0.423 μB per atom. For the calculated volume, the calculation gives 29.30 Å³/atom. Its density of states at the Fermi level is 6.51 states/eV/f.u.

Unit cell a=5.3378 b=5.3378 c=5.1421 alpha=90.00 beta=90.00 gamma=90.00
Space group P4/mmm (No. 123)
Inequivalent atoms, fractional coordinates:
Na 0.0000 0.0000 0.0000 (multiplicity 1)
Ti 0.0000 0.0000 0.5000 (multiplicity 1)
Bi 0.0000 0.5000 0.0000 (multiplicity 2)
Te 0.5000 0.5000 0.5000 (multiplicity 1)



6.
VASP calculation (PBEsol) on an optimized crystal structure of NaTiBi2.

Output
As for the theoretical density: 5.4 g/cm3. As for the energy relative to the elements: 23 kJ/mol of atoms. The crystal system is tetragonal. As for the total moment: 0.249 μB per atom. For the calculated volume, the calculation gives 37.31 Å³/atom. Its density of states at the Fermi level is 2.04 states/eV/f.u.

Unit cell a=5.8822 b=5.8822 c=17.2537 alpha=90.00 beta=90.00 gamma=90.00
Space group I-42d (No. 122)
Inequivalent atoms, fractional coordinates:
Na 0.0000 0.0000 0.0000 (multiplicity 4)
Ti 0.0000 0.0000 0.5000 (multiplicity 4)
Bi 0.1189 0.2500 0.6250 (multiplicity 8)



7.
VASP calculation (PBEsol) on an optimized crystal structure of Na2TlBi.

Output
As for the theoretical density: 7.0 g/cm3. As for the energy relative to the elements: -28 kJ/mol of atoms. The crystal system is cubic. As for the total moment: 0.000 μB per atom. For the calculated volume, the calculation gives 27.14 Å³/atom. Its density of states at the Fermi level is 1.00 states/eV/f.u.

Unit cell a=7.5724 b=7.5724 c=7.5724 alpha=90.00 beta=90.00 gamma=90.00
Space group Fm-3m (No. 225)
Inequivalent atoms, fractional coordinates:
Na 0.2500 0.2500 0.2500 (multiplicity 8)
Tl 0.0000 0.0000 0.0000 (multiplicity 4)
Bi 0.0000 0.0000 0.5000 (multiplicity 4)



8.
VASP calculation (PBEsol) on an optimized crystal structure of NaTl2Bi.

Output
As for the theoretical density: 9.3 g/cm3. As for the energy relative to the elements: -17 kJ/mol of atoms. The crystal system is cubic. As for the total moment: 0.000 μB per atom. For the calculated volume, the calculation gives 28.75 Å³/atom. Its density of states at the Fermi level is 0.36 states/eV/f.u.

Unit cell a=7.7194 b=7.7194 c=7.7194 alpha=90.00 beta=90.00 gamma=90.00
Space group Fm-3m (No. 225)
Inequivalent atoms, fractional coordinates:
Na 0.0000 0.0000 0.0000 (multiplicity 4)
Tl 0.2500 0.2500 0.2500 (multiplicity 8)
Bi 0.0000 0.0000 0.5000 (multiplicity 4)



9.
VASP calculation (PBEsol) on an optimized crystal structure of NaY3Bi.

Output
As for the theoretical density: 5.3 g/cm3. As for the energy relative to the elements: 59 kJ/mol of atoms. The crystal system is cubic. As for the total moment: 0.171 μB per atom. For the calculated volume, the calculation gives 31.27 Å³/atom. Its density of states at the Fermi level is 8.24 states/eV/f.u.

Unit cell a=5.3872 b=5.3872 c=5.3872 alpha=90.00 beta=90.00 gamma=90.00
Space group Pm-3m (No. 221)
Inequivalent atoms, fractional coordinates:
Na 0.0000 0.0000 0.0000 (multiplicity 1)
Y 0.0000 0.0000 0.5000 (multiplicity 3)
Bi 0.5000 0.5000 0.5000 (multiplicity 1)



10.
VASP calculation (PBEsol) on an optimized crystal structure of NaYBi2.

Output
As for the theoretical density: 7.8 g/cm3. As for the energy relative to the elements: -44 kJ/mol of atoms. The crystal system is cubic. As for the total moment: 0.000 μB per atom. For the calculated volume, the calculation gives 28.22 Å³/atom. Its density of states at the Fermi level is 3.63 states/eV/f.u.

Unit cell a=7.6717 b=7.6717 c=7.6717 alpha=90.00 beta=90.00 gamma=90.00
Space group Fm-3m (No. 225)
Inequivalent atoms, fractional coordinates:
Na 0.0000 0.0000 0.0000 (multiplicity 4)
Y 0.0000 0.0000 0.5000 (multiplicity 4)
Bi 0.2500 0.2500 0.2500 (multiplicity 8)



11.
VASP calculation (PBEsol) on an optimized crystal structure of NaY3Bi.

Output
As for the theoretical density: 4.2 g/cm3. As for the energy relative to the elements: 28 kJ/mol of atoms. The crystal system is cubic. As for the total moment: 0.417 μB per atom. For the calculated volume, the calculation gives 39.84 Å³/atom. Its density of states at the Fermi level is 8.76 states/eV/f.u.

Unit cell a=5.8401 b=5.8401 c=5.8401 alpha=90.00 beta=90.00 gamma=90.00
Space group Pm-3m (No. 221)
Inequivalent atoms, fractional coordinates:
Na 0.0000 0.0000 0.0000 (multiplicity 1)
Y 0.0000 0.5000 0.5000 (multiplicity 3)
Bi 0.5000 0.5000 0.5000 (multiplicity 1)



12.
VASP calculation (PBEsol) on an optimized crystal structure of NaZn2Bi2.

Output
As for the theoretical density: 7.3 g/cm3. As for the energy relative to the elements: -7 kJ/mol of atoms. The crystal system is tetragonal. As for the total moment: 0.000 μB per atom. For the calculated volume, the calculation gives 25.92 Å³/atom. Its density of states at the Fermi level is 1.14 states/eV/f.u.

Unit cell a=4.0773 b=4.0773 c=15.5896 alpha=90.00 beta=90.00 gamma=90.00
Space group I4/mmm (No. 139)
Inequivalent atoms, fractional coordinates:
Na 0.0000 0.0000 0.0000 (multiplicity 2)
Zn 0.0000 0.5000 0.2500 (multiplicity 4)
Bi 0.0000 0.0000 0.3736 (multiplicity 4)